[1]
## Cd2AgAu (SCAN)

Data for a crystal of Cd2AgAu relaxed with PBEsol.

Cell: 2.9868 2.9868 28.1706 Å, 90.00 90.00 120.00°
Space group R-3m (No. 166, hexagonal axes)
One atom of each set of equivalent atoms:
1 Cd 0.0000 0.0000 0.2503 [6 per cell]
2 Ag 0.0000 0.0000 0.0000 [3 per cell]
3 Au 0.0000 0.0000 0.5000 [3 per cell]

Values from the calculation:
The calculated volume comes out at 18.14 Å³ per atom. The density of states at the Fermi level is 0.3008 states/eV per atom. As for the formation energy: -0.0830 eV/atom. The total energy is -40.42 eV/atom. For the total magnetization, the calculation gives 0.00 μB/atom. The value obtained for the distance to the lowest polymorph of the same formula is 96 meV/atom.

=====

[2]
## KLiTa2Cd (SCAN)

Data for a crystal of KLiTa2Cd relaxed with PBEsol.

Cell: 5.103 5.103 6.063 Å, 90.00 90.00 90.00°
Space group P4/mmm (No. 123)
One atom of each set of equivalent atoms:
1 K 0.000 0.000 0.000 [1 per cell]
2 Li 0.500 0.500 0.000 [1 per cell]
3 Ta 0.000 0.500 0.500 [2 per cell]
4 Cd 0.000 0.000 0.500 [1 per cell]

Values from the calculation:
The calculated volume comes out at 31.58 Å³ per atom. The density of states at the Fermi level is 0.5475 states/eV per atom. As for the formation energy: 1.9096 eV/atom. The total energy is -32.95 eV/atom. For the total magnetization, the calculation gives 0.44 μB/atom.